DFT (PBE with a Hubbard U) results for a relaxed structure of KNb2VO8.

Output
As for the total energy: -94.6 eV for the cell shown. Its total magnetization is 0.00 μB per formula unit.

Cell: 5.2958 5.2958 7.1523 Å, 101.30 101.30 70.82°
Element x y z (fractional)
K (0.0000, 0.0000, 0.0000)
Nb (0.4254, 0.4254, 0.7698)
Nb (0.5746, 0.5746, 0.2302)
V (0.0000, 0.0000, 0.5000)
O (0.2093, 0.7599, 0.6836)
O (0.2173, 0.2173, 0.5925)
O (0.2401, 0.7907, 0.3164)
O (0.3530, 0.3530, 0.9989)
O (0.6470, 0.6470, 0.0011)
O (0.7599, 0.2093, 0.6836)
O (0.7827, 0.7827, 0.4075)
O (0.7907, 0.2401, 0.3164)